{
  "formula": "V4Re3Os",
  "functional": "PBE-GGA",
  "state": "optimized geometry",
  "lattice": [[-2.661, 0.613, -1.332], [1.822, -0.471, -3.856], [-1.969, -8.349, 0.090]],
  "species": ["Re", "Re", "Re", "Os", "V", "V", "V", "V"],
  "frac_coords": [[0.500, 0.000, 0.248], [0.500, 0.500, 0.500], [0.500, 0.000, 0.752], [0.500, 0.500, 0.000], [0.000, 0.000, 0.500], [0.000, 0.500, 0.748], [0.000, 0.000, 0.000], [0.000, 0.500, 0.252]],
  "magnetic_moment_mub_per_cell": 0.00,
  "spacegroup": "Pmmm (47)",
  "total_energy_ev_per_atom": -10.9713
}